Below is Tm3AgO after structural relaxation, with properties calculated at the PBE-GGA level.

## Properties
E_form (uncorrected) = -1.240 eV/atom
space group = No. 221
mass density = 10.3 g/cm³

a b c (Å): 4.6724 4.6724 4.6724
angles (deg): 90.00 90.00 90.00
Closest atoms and distances in Å follow each position.
Sites, in units of the cell vectors:
1 Tm 0.0000 0.0000 0.5000  2 O 2.34
2 Tm 0.0000 0.5000 0.0000  2 O 2.34
3 Tm 0.5000 0.0000 0.0000  2 O 2.34
4 Ag 0.5000 0.5000 0.5000  12 Tm 3.30
5 O 0.0000 0.0000 0.0000  6 Tm 2.34